Pm4NiCBr2: relaxed, PBE-GGA.

a = 3.834 Å, b = 7.076 Å, c = 7.724 Å
α = 106.99°, β = 90.00°, γ = 90.00°
Positions (direct):
Br 0.500 0.000 0.500
Br 0.000 0.500 0.500
Pm 0.500 0.240 0.189
Pm 0.500 0.760 0.811
Pm 0.000 0.294 0.812
Pm 0.000 0.706 0.188
C 0.500 0.500 0.000
Ni 0.000 0.000 0.000

Results
As for the formation energy (no corrections): -0.79 eV/atom. Its magnetic moment is 0.00 μB per cell.

Pm8NiC3Br4: relaxed, PBE-GGA.

a = 7.732 Å, b = 8.613 Å, c = 7.739 Å
α = 116.73°, β = 119.97°, γ = 90.00°
Positions (direct):
Br 0.500 0.000 0.000
Pm 0.713 0.688 0.951
C 0.500 0.500 0.500
Br 0.000 0.000 0.500
Pm 0.762 0.312 0.524
C 0.500 0.500 0.000
Pm 0.238 0.688 0.476
Pm 0.728 0.683 0.455
Br 0.500 0.000 0.500
Ni 0.000 0.500 0.000
Pm 0.762 0.312 0.049
Pm 0.238 0.688 0.951
Pm 0.272 0.317 0.545
C 0.000 0.500 0.500
Br 0.000 0.000 0.000
Pm 0.287 0.312 0.049

Results
As for the formation energy (no corrections): -0.82 eV/atom. Its magnetic moment is 0.00 μB per cell.

Pm8Ni3CBr4: relaxed, PBE-GGA.

a = 8.002 Å, b = 8.874 Å, c = 8.008 Å
α = 116.87°, β = 119.97°, γ = 90.00°
Positions (direct):
Pm 0.222 0.688 0.443
Ni 0.000 0.500 0.500
Ni 0.500 0.500 0.000
Pm 0.778 0.312 0.557
Br 0.000 0.000 0.500
Pm 0.221 0.688 0.967
Br 0.500 0.000 0.500
Pm 0.254 0.312 0.033
Ni 0.500 0.500 0.500
Pm 0.779 0.312 0.033
Pm 0.746 0.688 0.967
Pm 0.731 0.693 0.462
C 0.000 0.500 0.000
Pm 0.269 0.307 0.538
Br 0.000 0.000 0.000
Br 0.500 0.000 0.000

Results
As for the formation energy (no corrections): -0.78 eV/atom. Its magnetic moment is 0.00 μB per cell.

Pr4NiCBr2: relaxed, PBE-GGA.

a = 3.884 Å, b = 7.188 Å, c = 7.857 Å
α = 106.97°, β = 90.00°, γ = 90.00°
Positions (direct):
Br 0.000 0.500 0.500
Br 0.500 0.000 0.500
Ni 0.000 0.000 0.000
C 0.500 0.500 0.000
Pr 0.000 0.706 0.190
Pr 0.000 0.294 0.810
Pr 0.500 0.761 0.810
Pr 0.500 0.239 0.190

Results
As for the formation energy (no corrections): -0.76 eV/atom. Its magnetic moment is 0.00 μB per cell.

Pr8Ni3CBr4: relaxed, PBE-GGA.

a = 8.103 Å, b = 9.010 Å, c = 8.131 Å
α = 116.91°, β = 119.89°, γ = 90.00°
Positions (direct):
Pr 0.253 0.310 0.030
Pr 0.732 0.694 0.464
Ni 0.500 0.500 0.000
Br 0.000 0.000 0.000
Pr 0.222 0.690 0.445
C 0.000 0.500 0.000
Pr 0.747 0.690 0.970
Ni 0.000 0.500 0.500
Br 0.000 0.000 0.500
Pr 0.778 0.310 0.030
Br 0.500 0.000 0.500
Pr 0.222 0.690 0.970
Br 0.500 0.000 0.000
Ni 0.500 0.500 0.500
Pr 0.778 0.310 0.555
Pr 0.268 0.306 0.536

Results
As for the formation energy (no corrections): -0.76 eV/atom. Its magnetic moment is 0.00 μB per cell.

Rb2NiCBr6: relaxed, PBE-GGA.

a = 7.203 Å, b = 7.203 Å, c = 7.185 Å
α = 59.92°, β = 59.92°, γ = 90.00°
Site moments in Bohr magnetons follow the coordinates.
Positions (direct):
Rb 0.750 0.250 0.500  0.00
Br 0.250 0.250 0.000  0.02
Br 0.750 0.750 0.500  0.01
C 0.500 0.500 0.000  0.12
Br 0.250 0.250 0.500  0.01
Br 0.750 0.250 0.000  0.02
Rb 0.250 0.750 0.500  0.00
Br 0.250 0.750 0.000  0.02
Ni 0.000 0.000 0.000  0.64
Br 0.750 0.750 0.000  0.02

Results
As for the formation energy (no corrections): -0.29 eV/atom. Its magnetic moment is 1.04 μB per cell.

Among the records above, which one has the highest magnetic moment?
Rb2NiCBr6

Among the records above, which one has the highest magnetic moment?
Rb2NiCBr6

Repeat the fifth record exactly.
Pr8Ni3CBr4: relaxed, PBE-GGA.

a = 8.103 Å, b = 9.010 Å, c = 8.131 Å
α = 116.91°, β = 119.89°, γ = 90.00°
Positions (direct):
Pr 0.253 0.310 0.030
Pr 0.732 0.694 0.464
Ni 0.500 0.500 0.000
Br 0.000 0.000 0.000
Pr 0.222 0.690 0.445
C 0.000 0.500 0.000
Pr 0.747 0.690 0.970
Ni 0.000 0.500 0.500
Br 0.000 0.000 0.500
Pr 0.778 0.310 0.030
Br 0.500 0.000 0.500
Pr 0.222 0.690 0.970
Br 0.500 0.000 0.000
Ni 0.500 0.500 0.500
Pr 0.778 0.310 0.555
Pr 0.268 0.306 0.536

Results
As for the formation energy (no corrections): -0.76 eV/atom. Its magnetic moment is 0.00 μB per cell.